No. 1
# Ce4Sn2Ir PBE relaxed
data_Ce4Sn2Ir
_chemical_formula_sum 'Ce4 Sn2 Ir1'
_symmetry_space_group_name_H-M 'P 1'
_symmetry_Int_Tables_number 1
_symmetry_space_group_name_Hall 'P 1'
_cell_length_a 3.645
_cell_length_b 9.325
_cell_length_c 6.628
_cell_angle_alpha 110.80
_cell_angle_beta 90.00
_cell_angle_gamma 90.00
loop_
_atom_site_label
_atom_site_fract_x
_atom_site_fract_y
_atom_site_fract_z
_atom_site_occupancy
Ce1 0.000 0.726 0.899 1
Ce2 0.500 0.071 0.779 1
Ce3 0.000 0.417 0.244 1
Ce4 0.500 0.072 0.364 1
Sn1 0.500 0.736 0.404 1
Sn2 0.500 0.407 0.739 1
Ir1 0.000 0.071 0.071 1
# SG: No. 65
# Energy of formation (kJ/mol of formula units): -246
# D(E_F) (states/eV per atom): 2.955

No. 2
# Ce6SnIr PBE relaxed
data_Ce6SnIr
_chemical_formula_sum 'Ce6 Sn1 Ir1'
_symmetry_space_group_name_H-M 'P 1'
_symmetry_Int_Tables_number 1
_symmetry_space_group_name_Hall 'P 1'
_cell_length_a 6.212
_cell_length_b 7.338
_cell_length_c 6.521
_cell_angle_alpha 55.76
_cell_angle_beta 72.57
_cell_angle_gamma 57.82
loop_
_atom_site_label
_atom_site_fract_x
_atom_site_fract_y
_atom_site_fract_z
_atom_site_occupancy
Ce1 0.284 0.272 0.000 1
Ce2 0.716 0.728 0.000 1
Ce3 0.732 0.075 0.475 1
Ce4 0.732 0.550 0.525 1
Ce5 0.268 0.450 0.475 1
Ce6 0.268 0.925 0.525 1
Sn1 0.000 0.000 0.000 1
Ir1 0.500 0.500 0.000 1
# SG: No. 12
# Energy of formation (kJ/mol of formula units): -105
# D(E_F) (states/eV per atom): 2.555

No. 3
# Ce7SnIr2 PBE relaxed
data_Ce7SnIr2
_chemical_formula_sum 'Ce7 Sn1 Ir2'
_symmetry_space_group_name_H-M 'P 1'
_symmetry_Int_Tables_number 1
_symmetry_space_group_name_Hall 'P 1'
_cell_length_a 5.227
_cell_length_b 7.986
_cell_length_c 7.986
_cell_angle_alpha 108.49
_cell_angle_beta 90.00
_cell_angle_gamma 90.00
loop_
_atom_site_label
_atom_site_fract_x
_atom_site_fract_y
_atom_site_fract_z
_atom_site_occupancy
Ce1 0.500 0.079 0.296 1
Ce2 0.500 0.704 0.921 1
Ce3 0.000 0.728 0.272 1
Ce4 0.500 0.500 0.500 1
Ce5 0.500 0.296 0.079 1
Ce6 0.000 0.272 0.728 1
Ce7 0.500 0.921 0.704 1
Ir1 0.500 0.706 0.294 1
Ir2 0.500 0.294 0.706 1
Sn1 0.000 0.000 0.000 1
# SG: No. 65
# Energy of formation (kJ/mol of formula units): -231
# D(E_F) (states/eV per atom): 3.136

No. 4
# CeSnIr PBE relaxed
data_CeSnIr
_chemical_formula_sum 'Ce3 Sn3 Ir3'
_symmetry_space_group_name_H-M 'P 1'
_symmetry_Int_Tables_number 1
_symmetry_space_group_name_Hall 'P 1'
_cell_length_a 7.493
_cell_length_b 7.493
_cell_length_c 4.083
_cell_angle_alpha 90.00
_cell_angle_beta 90.00
_cell_angle_gamma 120.00
loop_
_atom_site_label
_atom_site_fract_x
_atom_site_fract_y
_atom_site_fract_z
_atom_site_occupancy
Ir1 0.000 0.000 0.000 1
Ir2 0.333 0.667 0.500 1
Ir3 0.667 0.333 0.500 1
Ce1 0.413 0.413 0.000 1
Ce2 0.587 0.000 0.000 1
Ce3 0.000 0.587 0.000 1
Sn1 0.000 0.253 0.500 1
Sn2 0.253 0.000 0.500 1
Sn3 0.747 0.747 0.500 1
# SG: No. 189
# Energy of formation (kJ/mol of formula units): -245
# D(E_F) (states/eV per atom): 0.921

No. 5
# Ce7Sn2Ir2 PBE relaxed
data_Ce7Sn2Ir2
_chemical_formula_sum 'Ce7 Sn2 Ir2'
_symmetry_space_group_name_H-M 'P 1'
_symmetry_Int_Tables_number 1
_symmetry_space_group_name_Hall 'P 1'
_cell_length_a 7.042
_cell_length_b 6.700
_cell_length_c 7.042
_cell_angle_alpha 90.01
_cell_angle_beta 108.64
_cell_angle_gamma 89.99
loop_
_atom_site_label
_atom_site_fract_x
_atom_site_fract_y
_atom_site_fract_z
_atom_site_occupancy
Ce1 0.000 0.723 0.500 1
Ce2 0.500 0.787 0.500 1
Ce3 0.500 0.213 0.500 1
Ce4 0.000 0.000 0.000 1
Ce5 0.000 0.277 0.500 1
Ce6 0.500 0.723 0.000 1
Ce7 0.500 0.277 0.000 1
Sn1 0.823 0.500 0.823 1
Sn2 0.177 0.500 0.177 1
Ir1 0.733 0.000 0.267 1
Ir2 0.267 0.000 0.733 1
# SG: No. 65
# Energy of formation (kJ/mol of formula units): -449
# D(E_F) (states/eV per atom): 3.058

No. 6
# Ce5SnIr PBE relaxed
data_Ce5SnIr
_chemical_formula_sum 'Ce10 Sn2 Ir2'
_symmetry_space_group_name_H-M 'P 1'
_symmetry_Int_Tables_number 1
_symmetry_space_group_name_Hall 'P 1'
_cell_length_a 6.375
_cell_length_b 6.375
_cell_length_c 11.010
_cell_angle_alpha 70.62
_cell_angle_beta 70.62
_cell_angle_gamma 65.27
loop_
_atom_site_label
_atom_site_fract_x
_atom_site_fract_y
_atom_site_fract_z
_atom_site_occupancy
Ce1 0.985 0.443 0.846 1
Ce2 0.443 0.985 0.346 1
Ce3 0.557 0.015 0.654 1
Ce4 0.797 0.508 0.431 1
Ce5 0.955 0.045 0.250 1
Ce6 0.015 0.557 0.154 1
Ce7 0.508 0.797 0.931 1
Ce8 0.203 0.492 0.569 1
Ce9 0.045 0.955 0.750 1
Ce10 0.492 0.203 0.069 1
Sn1 0.538 0.462 0.750 1
Sn2 0.462 0.538 0.250 1
Ir1 0.000 0.000 0.500 1
Ir2 0.000 0.000 0.000 1
# SG: No. 15
# Energy of formation (kJ/mol of formula units): -215
# D(E_F) (states/eV per atom): 2.873

No. 7
# Ce2SnIr PBE relaxed
data_Ce2SnIr
_chemical_formula_sum 'Ce4 Sn2 Ir2'
_symmetry_space_group_name_H-M 'P 1'
_symmetry_Int_Tables_number 1
_symmetry_space_group_name_Hall 'P 1'
_cell_length_a 4.072
_cell_length_b 7.150
_cell_length_c 7.378
_cell_angle_alpha 90.66
_cell_angle_beta 90.00
_cell_angle_gamma 106.54
loop_
_atom_site_label
_atom_site_fract_x
_atom_site_fract_y
_atom_site_fract_z
_atom_site_occupancy
Ce1 0.955 0.910 0.715 1
Ce2 0.231 0.462 0.707 1
Ce3 0.045 0.090 0.285 1
Ce4 0.769 0.538 0.293 1
Ir1 0.394 0.787 0.441 1
Ir2 0.606 0.213 0.559 1
Sn1 0.606 0.212 0.956 1
Sn2 0.394 0.788 0.044 1
# SG: No. 12
# Energy of formation (kJ/mol of formula units): -263
# D(E_F) (states/eV per atom): 2.421

No. 8
# Ce2Sn5Ir3 PBE relaxed
data_Ce2Sn5Ir3
_chemical_formula_sum 'Ce4 Sn10 Ir6'
_symmetry_space_group_name_H-M 'P 1'
_symmetry_Int_Tables_number 1
_symmetry_space_group_name_Hall 'P 1'
_cell_length_a 4.507
_cell_length_b 7.292
_cell_length_c 13.541
_cell_angle_alpha 90.00
_cell_angle_beta 99.58
_cell_angle_gamma 90.00
loop_
_atom_site_label
_atom_site_fract_x
_atom_site_fract_y
_atom_site_fract_z
_atom_site_occupancy
Sn1 0.710 0.006 0.420 1
Sn2 0.290 0.506 0.580 1
Sn3 0.403 0.385 0.806 1
Sn4 0.048 0.597 0.097 1
Sn5 0.121 0.258 0.243 1
Sn6 0.597 0.885 0.194 1
Sn7 0.706 0.433 0.412 1
Sn8 0.952 0.097 0.903 1
Sn9 0.879 0.758 0.757 1
Sn10 0.294 0.933 0.588 1
Ir1 0.605 0.505 0.210 1
Ir2 0.049 0.980 0.099 1
Ir3 0.223 0.218 0.446 1
Ir4 0.951 0.480 0.901 1
Ir5 0.777 0.718 0.554 1
Ir6 0.395 0.005 0.790 1
Ce1 0.170 0.723 0.341 1
Ce2 0.524 0.259 0.049 1
Ce3 0.830 0.223 0.659 1
Ce4 0.476 0.759 0.951 1
# SG: No. 36
# Energy of formation (kJ/mol of formula units): -612
# D(E_F) (states/eV per atom): 0.819

No. 9
# CeSnIr PBE relaxed
data_CeSnIr
_chemical_formula_sum 'Ce1 Sn1 Ir1'
_symmetry_space_group_name_H-M 'P 1'
_symmetry_Int_Tables_number 1
_symmetry_space_group_name_Hall 'P 1'
_cell_length_a 3.583
_cell_length_b 4.661
_cell_length_c 4.661
_cell_angle_alpha 120.00
_cell_angle_beta 90.00
_cell_angle_gamma 90.00
loop_
_atom_site_label
_atom_site_fract_x
_atom_site_fract_y
_atom_site_fract_z
_atom_site_occupancy
Ce1 0.667 0.667 0.333 1
Sn1 0.167 0.333 0.667 1
Ir1 0.167 0.000 0.000 1
# SG: No. 187
# Energy of formation (kJ/mol of formula units): -185
# D(E_F) (states/eV per atom): 1.181

No. 10
# Ce6Sn3Ir PBE relaxed
data_Ce6Sn3Ir
_chemical_formula_sum 'Ce12 Sn6 Ir2'
_symmetry_space_group_name_H-M 'P 1'
_symmetry_Int_Tables_number 1
_symmetry_space_group_name_Hall 'P 1'
_cell_length_a 5.642
_cell_length_b 8.976
_cell_length_c 11.080
_cell_angle_alpha 90.00
_cell_angle_beta 82.48
_cell_angle_gamma 90.00
loop_
_atom_site_label
_atom_site_fract_x
_atom_site_fract_y
_atom_site_fract_z
_atom_site_occupancy
Ce1 0.129 0.046 0.764 1
Ce2 0.371 0.546 0.736 1
Ce3 0.952 0.643 0.550 1
Ce4 0.496 0.816 0.425 1
Ce5 0.452 0.857 0.050 1
Ce6 0.048 0.357 0.450 1
Ce7 0.629 0.454 0.264 1
Ce8 0.004 0.316 0.075 1
Ce9 0.548 0.143 0.950 1
Ce10 0.504 0.184 0.575 1
Ce11 0.996 0.684 0.925 1
Ce12 0.871 0.954 0.236 1
Sn1 0.125 0.630 0.236 1
Sn2 0.625 0.870 0.736 1
Sn3 0.500 0.500 0.000 1
Sn4 0.375 0.130 0.264 1
Sn5 0.875 0.370 0.764 1
Sn6 0.000 0.000 0.500 1
Ir1 0.000 0.000 0.000 1
Ir2 0.500 0.500 0.500 1
# SG: No. 14
# Energy of formation (kJ/mol of formula units): -463
# D(E_F) (states/eV per atom): 2.807

Q: D(E_F) of number 5 (Ce7Sn2Ir2)?
A: 3.058 states/eV per atom